1.
DFT (GGA-PBE) results for an optimized crystal structure of Sm2GdTe.

Values from the calculation:
- Calculated volume: 28.67 Å³ per atom
- SG: No. 123
- Polymorph energy (0 for the lowest one): 84 meV per atom
- Formation energy (no corrections): -0.50 eV per atom

Lattice parameters (Å, degrees): 4.929 4.929 4.721 90.00 90.00 90.00
Positions (direct):
Sm: 0.000 0.500 0.000
Sm: 0.500 0.000 0.000
Gd: 0.000 0.000 0.500
Te: 0.500 0.500 0.500

***

2.
DFT (GGA-PBE) results for an optimized crystal structure of CrCBr2.

Values from the calculation:
- Calculated volume: 15.27 Å³ per atom
- SG: No. 225
- Polymorph energy (0 for the lowest one): 595 meV per atom
- Formation energy (no corrections): 1.90 eV per atom

Lattice parameters (Å, degrees): 4.420 4.420 4.420 60.00 60.00 60.00
Positions (direct):
Cr: 0.000 0.000 0.000
C: 0.500 0.500 0.500
Br: 0.250 0.250 0.250
Br: 0.750 0.750 0.750

***

3.
DFT (GGA-PBE) results for an optimized crystal structure of Nd8Se3.

Values from the calculation:
- Calculated volume: 28.95 Å³ per atom
- SG: No. 166
- Formation energy (no corrections): -0.65 eV per atom

Lattice parameters (Å, degrees): 12.913 12.913 12.913 24.22 24.22 24.22
Positions (direct):
Nd: 0.045 0.045 0.045
Nd: 0.142 0.142 0.142
Nd: 0.320 0.320 0.320
Nd: 0.421 0.421 0.421
Nd: 0.579 0.579 0.579
Nd: 0.680 0.680 0.680
Nd: 0.858 0.858 0.858
Nd: 0.955 0.955 0.955
Se: 0.230 0.230 0.230
Se: 0.500 0.500 0.500
Se: 0.770 0.770 0.770